# GGA-PBE Sm6SbTe3, relaxed
# - M_tot: 0.00 μB/cell
# - DOS(E_F): 1.03 states/eV/atom
# - E_form (uncorrected): -1.01 eV per atom
data_Sm6SbTe3
_symmetry_space_group_name_H-M 'P 1'
_symmetry_Int_Tables_number 1
_symmetry_space_group_name_Hall 'P 1'
_cell_length_a 12.3802
_cell_length_b 4.2141
_cell_length_c 12.7727
_cell_angle_alpha 90.00
_cell_angle_beta 104.77
_cell_angle_gamma 90.00
loop_
_atom_site_label
_atom_site_type_symbol
_atom_site_fract_x
_atom_site_fract_y
_atom_site_fract_z
_atom_site_occupancy
Sm1 Sm 0.0149 0.2500 0.3580 1
Sm2 Sm 0.0797 0.2500 0.8896 1
Sm3 Sm 0.2579 0.7500 0.2987 1
Sm4 Sm 0.2907 0.7500 0.7650 1
Sm5 Sm 0.3839 0.2500 0.5419 1
Sm6 Sm 0.4510 0.7500 0.1224 1
Sm7 Sm 0.5490 0.2500 0.8776 1
Sm8 Sm 0.6161 0.7500 0.4581 1
Sm9 Sm 0.7093 0.2500 0.2350 1
Sm10 Sm 0.7421 0.2500 0.7013 1
Sm11 Sm 0.9203 0.7500 0.1104 1
Sm12 Sm 0.9851 0.7500 0.6420 1
Sb1 Sb 0.4562 0.2500 0.3123 1
Sb2 Sb 0.5438 0.7500 0.6877 1
Te1 Te 0.1113 0.2500 0.1457 1
Te2 Te 0.1781 0.7500 0.5126 1
Te3 Te 0.3355 0.2500 0.9525 1
Te4 Te 0.6645 0.7500 0.0475 1
Te5 Te 0.8219 0.2500 0.4874 1
Te6 Te 0.8887 0.7500 0.8543 1